Density functional theory data (SCAN) for a crystal of LiZn2Cr relaxed with PBEsol.

As for the density of states at the Fermi level: 0.349 states/eV per atom. The formation energy is 11 kJ/mol of atoms.

It has space group Pmm2 (No. 25), with a = 2.491 Å, b = 4.071 Å, c = 5.225 Å, α = 90.00°, β = 90.00° and γ = 90.00°. The distinct sites, in fractional coordinates, are Li at (0.000, 0.000, 0.000), Zn at (0.000, 0.000, 0.507), Zn at (0.500, 0.500, 0.230) and Cr at (0.500, 0.500, 0.728).